Entry 1:
Density functional theory data (PBE) for crystalline ZnBi2BCl at its relaxed geometry.

For the volume, the calculation gives 27.77 Å³/atom. Its theoretical density is 6.3 g cm⁻³. As for the formation energy (no corrections): 5.5 eV/f.u. For the total energy, the calculation gives -12.0 eV for the cell shown. The energy above the lowest structure with this stoichiometry is 0.736 eV per atom. The symmetry is P4/mmm (123). As for the total magnetization: 0.000 Bohr magnetons per cell.

Lattice parameters (Å, degrees): 5.4344 5.4344 4.7014 90.00 90.00 90.00
With the nearest neighbours (Å) after each atom.
Element x y z (fractional)
Zn 0.0000 0.0000 0.0000  2 Cl 2.35
Bi 0.0000 0.5000 0.0000  2 Zn 2.72
Bi 0.5000 0.0000 0.0000  2 Zn 2.72
B 0.5000 0.5000 0.5000  8 Bi 3.59, 4 Cl 3.84
Cl 0.0000 0.0000 0.5000  2 Zn 2.35

---

Entry 2:
Density functional theory data (PBE) for crystalline ZnBi2BCl at its relaxed geometry.

For the volume, the calculation gives 23.04 Å³/atom. Its theoretical density is 7.6 g cm⁻³. As for the formation energy (no corrections): 1.8 eV/f.u. For the total energy, the calculation gives -15.7 eV for the cell shown. The energy above the lowest structure with this stoichiometry is 0.000 eV per atom. The symmetry is P4/mmm (123). As for the total magnetization: 0.000 Bohr magnetons per cell.

Lattice parameters (Å, degrees): 5.3968 5.3968 3.9549 90.00 90.00 90.00
With the nearest neighbours (Å) after each atom.
Element x y z (fractional)
Zn 0.0000 0.0000 0.0000  2 B 1.98
Bi 0.0000 0.5000 0.5000  2 B 2.70
Bi 0.5000 0.0000 0.5000  2 B 2.70
B 0.0000 0.0000 0.5000  2 Zn 1.98
Cl 0.5000 0.5000 0.0000  8 Bi 3.35

---

Entry 3:
Density functional theory data (PBE) for crystalline CoBiB2 at its relaxed geometry.

For the volume, the calculation gives 13.35 Å³/atom. Its theoretical density is 9.0 g cm⁻³. For the total energy, the calculation gives -44.5 eV for the cell shown. The formation energy is 199 kJ/mol of formula units. The symmetry is I4_1/amd (141). As for the total magnetization: 0.000 Bohr magnetons per cell.

Lattice parameters (Å, degrees): 7.5611 7.5611 7.5611 150.16 150.16 42.71
With the nearest neighbours (Å) after each atom.
Element x y z (fractional)
Co 0.3750 0.6250 0.7500  4 B 2.01
Co 0.6250 0.3750 0.2500  4 B 2.01
Bi 0.1250 0.8750 0.2500  4 Co 2.75, 8 B 2.80
Bi 0.8750 0.1250 0.7500  4 Co 2.75, 8 B 2.80
B 0.0000 0.5000 0.5000  2 B 1.95, 2 Co 2.01
B 0.5000 0.0000 0.0000  2 B 1.95, 2 Co 2.01
B 0.5000 0.5000 0.0000  2 B 1.95, 2 Co 2.01
B 0.5000 0.5000 0.5000  2 B 1.95, 2 Co 2.01

---

Entry 4:
Density functional theory data (PBE) for crystalline MnCoBi2B at its relaxed geometry.

For the volume, the calculation gives 22.84 Å³/atom. Its theoretical density is 7.9 g cm⁻³. For the total energy, the calculation gives -24.4 eV for the cell shown. The formation energy is 613 kJ/mol of formula units. The symmetry is P4/mmm (123). As for the total magnetization: 4.798 Bohr magnetons per cell.

Lattice parameters (Å, degrees): 4.9558 4.9558 4.6500 90.00 90.00 90.00
With the nearest neighbours (Å) after each atom.
Element x y z (fractional)
Mn 0.0000 0.0000 0.0000  2 Co 2.33
Co 0.0000 0.0000 0.5000  2 Mn 2.33, 4 Bi 2.48
Bi 0.0000 0.5000 0.5000  2 Co 2.48
Bi 0.5000 0.0000 0.5000  2 Co 2.48
B 0.5000 0.5000 0.0000  8 Bi 3.40, 4 Mn 3.50